First-principles (PBE) data for crystalline CeEr3Au4 at its relaxed geometry, as listed in the Alexandria database.

Values from the calculation:
- Spin magnetization: 1.02 μB per formula unit
- Theoretical density: 12.6 g cm⁻³
- DFT formation energy: -0.796 eV/atom
- Symmetry: R-3m, No. 166

```
CeEr3Au4
1.0
2.534 1.463 8.452
-2.534 1.463 8.452
0.000 -2.926 8.452
Ce Er Au
1 3 4
Cartesian
0.000 0.000 0.000
0.000 0.000 6.317
0.000 0.000 12.678
0.000 0.000 19.040
0.000 0.000 3.243
0.000 0.000 9.664
0.000 0.000 15.692
0.000 0.000 22.114
```